Record 1
Here is a relaxed structure of Co2PRu from Alexandria via LeMat-Bulk. Energies are from PBE.

## Properties
DFT formation energy ... -0.0052 eV/atom
E ... -57.84 eV per cell
Total magnetic moment ... 0.000 μB per atom

Unit cell a=3.5402 b=3.5402 c=7.2770 alpha=90.00 beta=90.00 gamma=90.00
With the nearest neighbours (Å) after each atom.
Fractional coordinates of all 8 atoms:
1 Co 0.0000 0.5000 0.2500  4 Co 2.50, 4 Ru 2.54, 4 P 2.54
2 Co 0.0000 0.5000 0.7500  4 Co 2.50, 4 Ru 2.54, 4 P 2.54
3 Co 0.5000 0.0000 0.2500  4 Co 2.50, 4 Ru 2.54, 4 P 2.54
4 Co 0.5000 0.0000 0.7500  4 Co 2.50, 4 Ru 2.54, 4 P 2.54
5 P 0.0000 0.0000 0.0000  4 Ru 2.50, 8 Co 2.54
6 P 0.5000 0.5000 0.5000  4 Ru 2.50, 8 Co 2.54
7 Ru 0.0000 0.0000 0.5000  4 P 2.50, 8 Co 2.54
8 Ru 0.5000 0.5000 0.0000  4 P 2.50, 8 Co 2.54



Record 2
Here is a relaxed structure of Co2PRu from Alexandria via LeMat-Bulk. Energies are from PBE.

## Properties
DFT formation energy ... 0.2608 eV/atom
E ... -111.42 eV per cell
Total magnetic moment ... 0.859 μB per atom

Unit cell a=3.4943 b=3.4943 c=16.8308 alpha=90.00 beta=90.00 gamma=90.00
With the nearest neighbours (Å) after each atom.
Fractional coordinates of all 16 atoms:
1 Co 0.2165 0.2500 0.1250  2 Co 2.31, 2 P 2.40, 2 Ru 2.48
2 Co 0.2500 0.7165 0.3750  2 Co 2.31, 2 P 2.40, 2 Ru 2.48
3 Co 0.2500 0.7835 0.8750  2 Co 2.31, 2 P 2.40, 2 Ru 2.48
4 Co 0.2835 0.2500 0.6250  2 Co 2.31, 2 P 2.40, 2 Ru 2.48
5 Co 0.7165 0.7500 0.6250  2 Co 2.31, 2 P 2.40, 2 Ru 2.48
6 Co 0.7500 0.2165 0.8750  2 Co 2.31, 2 P 2.40, 2 Ru 2.48
7 Co 0.7500 0.2835 0.3750  2 Co 2.31, 2 P 2.40, 2 Ru 2.48
8 Co 0.7835 0.7500 0.1250  2 Co 2.31, 2 P 2.40, 2 Ru 2.48
9 P 0.0000 0.0000 0.0000  4 Co 2.40, 4 Ru 2.47
10 P 0.0000 0.5000 0.2500  4 Co 2.40, 4 Ru 2.47
11 P 0.5000 0.0000 0.7500  4 Co 2.40, 4 Ru 2.47
12 P 0.5000 0.5000 0.5000  4 Co 2.40, 4 Ru 2.47
13 Ru 0.0000 0.0000 0.5000  4 P 2.47, 4 Co 2.48
14 Ru 0.0000 0.5000 0.7500  4 P 2.47, 4 Co 2.48
15 Ru 0.5000 0.0000 0.2500  4 P 2.47, 4 Co 2.48
16 Ru 0.5000 0.5000 0.0000  4 P 2.47, 4 Co 2.48



Record 3
Here is a relaxed structure of CoPRu3 from Alexandria via LeMat-Bulk. Energies are from PBE.

## Properties
DFT formation energy ... 0.7750 eV/atom
Energy relative to the lowest polymorph listed for this composition ... 0.00 eV per formula unit
E ... -36.47 eV per cell
Total magnetic moment ... 0.000 μB per atom

Unit cell a=4.2813 b=4.2813 c=4.2813 alpha=90.00 beta=90.00 gamma=90.00
With the nearest neighbours (Å) after each atom.
Fractional coordinates of all 5 atoms:
1 Co 0.0000 0.0000 0.0000  12 Ru 3.03
2 P 0.5000 0.5000 0.5000  6 Ru 2.14
3 Ru 0.0000 0.5000 0.5000  2 P 2.14
4 Ru 0.5000 0.0000 0.5000  2 P 2.14
5 Ru 0.5000 0.5000 0.0000  2 P 2.14



Record 4
Here is a relaxed structure of CoP4Ru from Alexandria via LeMat-Bulk. Energies are from PBE.

## Properties
DFT formation energy ... 0.8018 eV/atom
E ... -33.21 eV per cell
Total magnetic moment ... 0.072 μB per atom

Unit cell a=4.8296 b=4.8296 c=4.8296 alpha=60.00 beta=60.00 gamma=60.00
With the nearest neighbours (Å) after each atom.
Fractional coordinates of all 6 atoms:
1 Co 0.0000 0.0000 0.0000  12 P 2.83, 4 Ru 2.96
2 P 0.1236 0.6255 0.6255  6 P 2.41-2.42
3 P 0.6255 0.1236 0.6255  6 P 2.41-2.42
4 P 0.6255 0.6255 0.1236  6 P 2.41-2.42
5 P 0.6255 0.6255 0.6255  6 P 2.41-2.42
6 Ru 0.2500 0.2500 0.2500  12 P 2.83, 4 Co 2.96